[1]
Li2MnP2O8 | PBEsol | optimized geometry

Calculated values
Its formation energy (no corrections) is -2.111 eV per atom. The calculation puts the energy at -94.714 eV per cell. Its distance to the lowest polymorph of the same formula is 39 meV per atom.

a = 4.5666 Å, b = 4.9062 Å, c = 6.9187 Å
α = 89.83°, β = 81.84°, γ = 63.31°
Closest atoms and distances in Å follow each position.
Space group P-1 (No. 2)
Asymmetric unit:
Li: 0.2104 0.2950 0.3447  2 O 1.85-2.07
Mn: 0.0000 0.0000 0.0000  6 O 1.83-1.96
P: 0.3988 0.3416 0.7872  4 O 1.50-1.57
O: 0.2170 0.2347 0.9528  1 P 1.55
O: 0.2219 0.8845 0.2312  1 P 1.57
O: 0.2670 0.3529 0.5987  1 P 1.50
O: 0.3579 0.6671 0.8461  1 P 1.57



[2]
Li3Mn2P3O12 | PBEsol | optimized geometry

Calculated values
Its formation energy (no corrections) is -2.142 eV per atom. The calculation puts the energy at -594.533 eV per cell. The calculation puts the density of states at the Fermi level at 0.0 states/eV/f.u. Its distance to the lowest polymorph of the same formula is 0 meV per atom.

a = 8.3820 Å, b = 8.5640 Å, c = 14.5622 Å
α = 90.00°, β = 122.51°, γ = 90.00°
Closest atoms and distances in Å follow each position.
Space group P2_1/c (No. 14)
Asymmetric unit:
Li: 0.0404 0.2166 0.3305  4 O 1.93-2.02
Li: 0.3198 0.1914 0.2383  4 O 1.95-2.07
Li: 0.3861 0.5905 0.3039  4 O 1.95-2.03
Mn: 0.1381 0.5442 0.3897  4 O 1.84-1.96
Mn: 0.3473 0.5389 0.0975  5 O 1.88-2.03
P: 0.0586 0.0965 0.6581  4 O 1.51-1.57
P: 0.2362 0.6154 0.6344  4 O 1.53-1.57
P: 0.4598 0.2460 0.4971  4 O 1.52-1.56
O: 0.0526 0.2409 0.2005  1 P 1.53
O: 0.0866 0.5883 0.6647  1 P 1.55
O: 0.1166 0.5274 0.2504  1 P 1.57
O: 0.1218 0.5380 0.9418  1 P 1.51
O: 0.1386 0.6124 0.5097  1 P 1.54
O: 0.2325 0.1064 0.6455  1 P 1.57
O: 0.2659 0.1771 0.9412  1 P 1.52
O: 0.3068 0.7126 0.1721  1 P 1.57
O: 0.3798 0.6356 0.4334  1 P 1.55
O: 0.3937 0.0065 0.1914  1 P 1.53
O: 0.4795 0.1798 0.4039  1 P 1.56
O: 0.4818 0.1221 0.5797  1 P 1.54



[3]
LiMn6PO12 | PBEsol | optimized geometry

Calculated values
Its formation energy (no corrections) is -1.746 eV per atom. The calculation puts the energy at -1313.955 eV per cell.

a = 9.3215 Å, b = 9.3215 Å, c = 18.6171 Å
α = 90.00°, β = 90.00°, γ = 90.00°
Closest atoms and distances in Å follow each position.
Space group I4_1/acd (No. 142, origin choice 2)
Asymmetric unit:
Li: 0.0000 0.2500 0.1250  4 O 2.20
Mn: 0.0000 0.0000 0.0000  4 O 1.87-2.03
Mn: 0.0236 0.0000 0.2500  4 O 1.92-1.97
Mn: 0.2339 0.0161 0.6250  4 O 1.92-1.95
P: 0.0000 0.2500 0.3750  4 O 1.53
O: 0.0869 0.1475 0.9222  1 P 1.53
O: 0.1186 0.1087 0.6989  3 Mn 1.92-2.03
O: 0.1470 0.0790 0.0557  3 Mn 1.87-1.97



Question: Which value of energy does entry 3 give?
Answer: -1313.955 eV per cell



Question: Among the records above, which one has the highest energy?
Answer: Li2MnP2O8



Question: Which of these has the lowest energy?
Answer: LiMn6PO12